1.
## ZrZnCoHg (GGA-PBE)

Data for a geometry-optimized ZrZnCoHg structure.

Cell and atoms, written as CIF:
```
data_ZrZnCoHg
_cell_length_a 6.467
_cell_length_b 6.467
_cell_length_c 6.467
_cell_angle_alpha 90.00
_cell_angle_beta 90.00
_cell_angle_gamma 90.00
_space_group_name_H-M_alt 'F -4 3 m'
_space_group_IT_number 216
_space_group_name_Hall 'F -4 2 3'
loop_
_atom_site_label
_atom_site_type_symbol
_atom_site_fract_x
_atom_site_fract_y
_atom_site_fract_z
_atom_site_occupancy
Zr1 Zr 0.000 0.000 0.000 1
Zn1 Zn 0.250 0.250 0.250 1
Co1 Co 0.000 0.000 0.500 1
Hg1 Hg 0.250 0.250 0.750 1
```

Total magnetic moment in μB per atom: 0.103
DFT formation energy in meV/atom: 64
Calculated total energy in eV/atom: -4.24
Energy above the most stable polymorph in this dataset in meV/atom: 37

---

2.
## ZrZnCoHg (GGA-PBE)

Data for a geometry-optimized ZrZnCoHg structure.

Cell and atoms, written as CIF:
```
data_ZrZnCoHg
_cell_length_a 6.503
_cell_length_b 6.503
_cell_length_c 6.503
_cell_angle_alpha 90.00
_cell_angle_beta 90.00
_cell_angle_gamma 90.00
_space_group_name_H-M_alt 'F -4 3 m'
_space_group_IT_number 216
_space_group_name_Hall 'F -4 2 3'
loop_
_atom_site_label
_atom_site_type_symbol
_atom_site_fract_x
_atom_site_fract_y
_atom_site_fract_z
_atom_site_occupancy
Zr1 Zr 0.000 0.000 0.000 1
Zn1 Zn 0.000 0.000 0.500 1
Co1 Co 0.250 0.250 0.750 1
Hg1 Hg 0.250 0.250 0.250 1
```

Total magnetic moment in μB per atom: 0.284
DFT formation energy in meV/atom: 27
Calculated total energy in eV/atom: -4.28
Energy above the most stable polymorph in this dataset in meV/atom: 0

---

3.
## HoCo2 (GGA-PBE)

Data for a geometry-optimized HoCo2 structure.

Cell and atoms, written as CIF:
```
data_HoCo2
_cell_length_a 5.031
_cell_length_b 5.031
_cell_length_c 4.243
_cell_angle_alpha 90.00
_cell_angle_beta 90.00
_cell_angle_gamma 90.00
_space_group_name_H-M_alt 'P 42/m n m'
_space_group_IT_number 136
_space_group_name_Hall '-P 4n 2n'
loop_
_atom_site_label
_atom_site_type_symbol
_atom_site_fract_x
_atom_site_fract_y
_atom_site_fract_z
_atom_site_occupancy
Ho1 Ho 0.000 0.000 0.000 1
Co1 Co 0.169 0.169 0.500 1
```

Total magnetic moment in μB per atom: 0.312
DFT formation energy in meV/atom: 1376
Calculated total energy in eV/atom: -4.89

---

4.
## HoCo5 (GGA-PBE)

Data for a geometry-optimized HoCo5 structure.

Cell and atoms, written as CIF:
```
data_HoCo5
_cell_length_a 4.8520
_cell_length_b 4.8520
_cell_length_c 3.9445
_cell_angle_alpha 90.00
_cell_angle_beta 90.00
_cell_angle_gamma 120.00
_space_group_name_H-M_alt 'P 6/m m m'
_space_group_IT_number 191
_space_group_name_Hall '-P 6 2'
loop_
_atom_site_label
_atom_site_type_symbol
_atom_site_fract_x
_atom_site_fract_y
_atom_site_fract_z
_atom_site_occupancy
Ho1 Ho 0.0000 0.0000 0.0000 1
Co1 Co 0.0000 0.5000 0.5000 1
Co2 Co 0.3333 0.6667 0.0000 1
```

Total magnetic moment in μB per atom: 1.161
DFT formation energy in meV/atom: -114
Calculated total energy in eV/atom: -6.80